Record 1
## TePdS2 (GGA-PBE)

Data for crystalline TePdS2 at its relaxed geometry.

Final energy, eV/cell: -32.2
Space-group type: I-42d
Raw formation energy, meV per atom: 124

Unit cell a=6.0383 b=6.0383 c=6.0383 alpha=111.77 beta=111.77 gamma=104.96
Atoms (fractional coordinates):
Te 0.0000 0.0000 0.0000
Te 0.7500 0.2500 0.5000
Pd 0.2500 0.7500 0.5000
Pd 0.5000 0.5000 0.0000
S 0.1653 0.6250 0.0403
S 0.3750 0.4153 0.5403
S 0.5847 0.1250 0.9597
S 0.8750 0.8347 0.4597


Record 2
## TePdS2 (GGA-PBE)

Data for crystalline TePdS2 at its relaxed geometry.

Final energy, eV/cell: -16.8
Space-group type: R-3m
Raw formation energy, meV per atom: -64

Unit cell a=8.0028 b=8.0028 c=8.0028 alpha=26.53 beta=26.53 gamma=26.53
Atoms (fractional coordinates):
Te 0.0000 0.0000 0.0000
Pd 0.5000 0.5000 0.5000
S 0.1130 0.1130 0.1130
S 0.8870 0.8870 0.8870